(1)
## CaAcI2 (GGA-PBE)

Data for an optimized crystal structure of CaAcI2.

Unit cell a=4.231 b=4.231 c=11.171 alpha=79.08 beta=79.08 gamma=60.00
Fractional positions:
1 Ac 0.000 0.000 0.000
2 I 0.893 0.893 0.322
3 I 0.107 0.107 0.678
4 Ca 0.500 0.500 0.500

Results
Formation energy (no corrections) ... -0.914 eV per atom
Theoretical density ... 5.12 Mg/m³

(2)
## CaAcI6 (GGA-PBE)

Data for an optimized crystal structure of CaAcI6.

Unit cell a=7.993 b=7.987 c=8.280 alpha=60.33 beta=61.28 gamma=59.91
Fractional positions:
1 Ca 0.000 0.000 0.000
2 I 0.940 0.571 0.253
3 I 0.060 0.429 0.747
4 I 0.578 0.242 0.246
5 I 0.422 0.758 0.754
6 I 0.756 0.057 0.759
7 I 0.244 0.943 0.241
8 Ac 0.500 0.500 0.500

Results
Formation energy (no corrections) ... -1.225 eV per atom
Theoretical density ... 4.52 Mg/m³

(3)
## CaAcI (GGA-PBE)

Data for an optimized crystal structure of CaAcI.

Unit cell a=4.090 b=4.090 c=8.314 alpha=90.00 beta=90.00 gamma=120.00
Fractional positions:
1 I 0.667 0.333 0.344
2 Ca 0.333 0.667 0.638
3 Ac 0.000 0.000 0.019

Results
Formation energy (no corrections) ... -0.652 eV per atom
Theoretical density ... 5.43 Mg/m³

(4)
## CaAcI2O8 (GGA-PBE)

Data for an optimized crystal structure of CaAcI2O8.

Unit cell a=5.659 b=5.659 c=7.462 alpha=67.71 beta=67.71 gamma=60.00
Fractional positions:
1 O 0.178 0.178 0.465
2 O 0.703 0.091 0.804
3 O 0.402 0.703 0.804
4 O 0.909 0.598 0.196
5 O 0.822 0.822 0.535
6 O 0.598 0.297 0.196
7 O 0.091 0.402 0.804
8 O 0.297 0.909 0.196
9 Ca 0.000 0.000 0.000
10 Ac 0.500 0.500 0.500
11 I 0.269 0.269 0.193
12 I 0.731 0.731 0.807

Results
Formation energy (no corrections) ... -1.315 eV per atom
Theoretical density ... 5.79 Mg/m³

(5)
## CaAcIO2 (GGA-PBE)

Data for an optimized crystal structure of CaAcIO2.

Unit cell a=4.260 b=4.260 c=7.537 alpha=106.42 beta=106.42 gamma=90.00
Fractional positions:
1 O 0.253 0.753 0.505
2 O 0.753 0.253 0.505
3 Ac 0.172 0.172 0.344
4 I 0.502 0.502 0.005
5 Ca 0.820 0.820 0.640

Results
Formation energy (no corrections) ... -2.785 eV per atom
Theoretical density ... 5.64 Mg/m³

(6)
## CaAcIO6 (GGA-PBE)

Data for an optimized crystal structure of CaAcIO6.

Unit cell a=5.651 b=5.651 c=5.158 alpha=90.00 beta=90.00 gamma=60.00
Fractional positions:
1 O 0.610 0.054 0.288
2 O 0.055 0.335 0.288
3 O 0.335 0.055 0.712
4 O 0.610 0.335 0.712
5 O 0.335 0.610 0.288
6 O 0.054 0.610 0.711
7 I 0.333 0.333 0.500
8 Ca 0.667 0.667 0.500
9 Ac 0.000 0.000 0.000

Results
Formation energy (no corrections) ... -1.909 eV per atom
Theoretical density ... 5.70 Mg/m³

(7)
## CaAc2IO8 (GGA-PBE)

Data for an optimized crystal structure of CaAc2IO8.

Unit cell a=5.312 b=5.317 c=7.356 alpha=90.00 beta=90.00 gamma=91.43
Fractional positions:
1 Ca 0.000 0.000 0.500
2 O 0.742 0.746 0.000
3 O 0.258 0.254 0.000
4 O 0.831 0.172 0.809
5 O 0.304 0.302 0.500
6 O 0.169 0.828 0.191
7 O 0.696 0.698 0.500
8 O 0.169 0.828 0.809
9 O 0.831 0.172 0.191
10 Ac 0.500 0.500 0.751
11 Ac 0.500 0.500 0.249
12 I 0.000 0.000 0.000

Results
Formation energy (no corrections) ... -1.980 eV per atom
Theoretical density ... 5.99 Mg/m³

(8)
## CaAcRhI (GGA-PBE)

Data for an optimized crystal structure of CaAcRhI.

Unit cell a=4.277 b=4.277 c=8.677 alpha=90.01 beta=104.26 gamma=120.00
Fractional positions:
1 Rh 0.303 0.550 0.868
2 Ca 0.506 0.151 0.672
3 I 0.978 0.387 0.380
4 Ac 0.091 0.943 0.049

Results
Formation energy (no corrections) ... -0.883 eV per atom
Theoretical density ... 6.26 Mg/m³

(9)
## CaAcSnI (GGA-PBE)

Data for an optimized crystal structure of CaAcSnI.

Unit cell a=5.750 b=5.750 c=5.750 alpha=60.00 beta=60.00 gamma=60.00
Fractional positions:
1 Ca 0.000 0.000 0.000
2 Ac 0.500 0.500 0.500
3 I 0.750 0.750 0.750
4 Sn 0.250 0.250 0.250

Results
Formation energy (no corrections) ... -0.816 eV per atom
Theoretical density ... 6.33 Mg/m³

(10)
## Ca5AcIn3 (GGA-PBE)

Data for an optimized crystal structure of Ca5AcIn3.

Unit cell a=7.360 b=9.672 c=9.671 alpha=120.00 beta=90.00 gamma=90.00
Fractional positions:
1 In 0.250 0.000 0.327
2 In 0.750 0.000 0.673
3 In 0.250 0.327 0.000
4 In 0.750 0.327 0.327
5 In 0.250 0.673 0.673
6 In 0.750 0.673 0.000
7 Ca 0.250 0.000 0.656
8 Ca 0.750 0.344 0.000
9 Ca 0.500 0.667 0.333
10 Ca 0.750 0.000 0.344
11 Ca 0.250 0.656 0.000
12 Ca 0.750 0.656 0.656
13 Ca 0.000 0.333 0.667
14 Ca 0.500 0.333 0.667
15 Ca 0.250 0.344 0.344
16 Ca 0.000 0.667 0.333
17 Ac 0.500 0.000 0.000
18 Ac 0.000 0.000 0.000

Results
Formation enthalpy at 0 K ... -0.325 eV per atom
Theoretical density ... 4.30 Mg/m³

(11)
## CaAc2In3 (GGA-PBE)

Data for an optimized crystal structure of CaAc2In3.

Unit cell a=3.970 b=3.970 c=12.407 alpha=90.00 beta=90.00 gamma=90.00
Fractional positions:
1 In 0.000 0.000 0.644
2 In 0.000 0.000 0.356
3 In 0.000 0.000 0.000
4 Ca 0.500 0.500 0.500
5 Ac 0.500 0.500 0.176
6 Ac 0.500 0.500 0.824

Results
Formation enthalpy at 0 K ... -0.438 eV per atom
Theoretical density ... 7.12 Mg/m³

(12)
## CaAc3In (GGA-PBE)

Data for an optimized crystal structure of CaAc3In.

Unit cell a=3.991 b=5.889 c=9.259 alpha=71.46 beta=78.06 gamma=90.02
Fractional positions:
1 Ac 0.610 0.998 0.316
2 Ac 0.717 0.626 0.061
3 Ac 0.004 0.398 0.516
4 Ca 0.297 0.201 0.909
5 In 0.381 0.802 0.709

Results
Formation enthalpy at 0 K ... -0.083 eV per atom
Theoretical density ... 6.90 Mg/m³

(13)
## CaAc3In3 (GGA-PBE)

Data for an optimized crystal structure of CaAc3In3.

Unit cell a=8.060 b=8.060 c=7.907 alpha=90.00 beta=90.00 gamma=86.94
Fractional positions:
1 In 0.000 0.500 0.768
2 In 0.000 0.000 0.235
3 In 0.500 0.000 0.768
4 In 0.000 0.000 0.765
5 In 0.500 0.000 0.232
6 In 0.000 0.500 0.232
7 Ac 0.742 0.258 0.500
8 Ac 0.756 0.756 0.500
9 Ac 0.244 0.244 0.500
10 Ac 0.266 0.734 0.000
11 Ac 0.734 0.266 0.000
12 Ac 0.258 0.742 0.500
13 Ca 0.242 0.242 0.000
14 Ca 0.758 0.758 0.000

Results
Formation enthalpy at 0 K ... -0.314 eV per atom
Theoretical density ... 6.90 Mg/m³

(14)
## Ca5AcIn4 (GGA-PBE)

Data for an optimized crystal structure of Ca5AcIn4.

Unit cell a=3.899 b=3.899 c=20.725 alpha=90.00 beta=90.00 gamma=90.00
Fractional positions:
1 In 0.000 0.000 0.773
2 In 0.000 0.000 0.409
3 In 0.000 0.000 0.227
4 In 0.000 0.000 0.591
5 Ca 0.500 0.500 0.138
6 Ca 0.500 0.500 0.500
7 Ca 0.500 0.500 0.319
8 Ca 0.500 0.500 0.862
9 Ca 0.500 0.500 0.681
10 Ac 0.000 0.000 0.000

Results
Formation enthalpy at 0 K ... -0.363 eV per atom
Theoretical density ... 4.67 Mg/m³

(15)
## Ca2AcIn (GGA-PBE)

Data for an optimized crystal structure of Ca2AcIn.

Unit cell a=5.836 b=5.836 c=5.836 alpha=60.00 beta=60.00 gamma=60.00
Fractional positions:
1 Ac 0.000 0.000 0.000
2 Ca 0.250 0.250 0.250
3 Ca 0.750 0.750 0.750
4 In 0.500 0.500 0.500

Results
Formation enthalpy at 0 K ... -0.048 eV per atom
Theoretical density ... 4.99 Mg/m³

(16)
## Ca3AcIn2 (GGA-PBE)

Data for an optimized crystal structure of Ca3AcIn2.

Unit cell a=5.077 b=10.033 c=10.218 alpha=120.59 beta=90.00 gamma=104.66
Fractional positions:
1 Ca 0.000 0.000 0.332
2 Ca 0.000 0.000 0.668
3 Ca 0.330 0.659 0.528
4 Ca 0.670 0.341 0.472
5 Ca 0.670 0.341 0.869
6 Ca 0.330 0.659 0.131
7 In 0.796 0.593 0.296
8 In 0.500 0.000 0.857
9 In 0.500 0.000 0.143
10 In 0.204 0.407 0.704
11 Ac 0.122 0.244 0.122
12 Ac 0.878 0.756 0.878

Results
Formation enthalpy at 0 K ... -0.316 eV per atom
Theoretical density ... 4.47 Mg/m³

(17)
## Ca2Ac3In4 (GGA-PBE)

Data for an optimized crystal structure of Ca2Ac3In4.

Unit cell a=5.701 b=5.702 c=10.794 alpha=90.02 beta=90.00 gamma=119.99
Fractional positions:
1 Ca 0.333 0.666 0.218
2 Ca 0.667 0.334 0.782
3 In 0.333 0.667 0.907
4 In 0.000 0.999 0.349
5 In 0.000 0.001 0.651
6 In 0.667 0.333 0.093
7 Ac 0.000 0.000 0.000
8 Ac 0.666 0.333 0.409
9 Ac 0.334 0.667 0.591

Results
Formation enthalpy at 0 K ... -0.383 eV per atom
Theoretical density ... 6.67 Mg/m³

(18)
## Ca2AcIn (GGA-PBE)

Data for an optimized crystal structure of Ca2AcIn.

Unit cell a=5.223 b=6.658 c=9.432 alpha=90.00 beta=90.00 gamma=113.03
Fractional positions:
1 Ca 0.350 0.701 0.557
2 Ca 0.350 0.701 0.943
3 Ca 0.650 0.299 0.443
4 Ca 0.650 0.299 0.057
5 In 0.768 0.535 0.750
6 In 0.232 0.465 0.250
7 Ac 0.054 0.107 0.750
8 Ac 0.946 0.893 0.250

Results
Formation enthalpy at 0 K ... -0.214 eV per atom
Theoretical density ... 4.64 Mg/m³

(19)
## CaAc4In5 (GGA-PBE)

Data for an optimized crystal structure of CaAc4In5.

Unit cell a=3.951 b=3.951 c=21.367 alpha=90.00 beta=90.00 gamma=90.00
Fractional positions:
1 Ac 0.000 0.000 0.189
2 Ac 0.000 0.000 0.396
3 Ac 0.000 0.000 0.811
4 Ac 0.000 0.000 0.604
5 In 0.500 0.500 0.915
6 In 0.500 0.500 0.292
7 In 0.500 0.500 0.085
8 In 0.500 0.500 0.708
9 In 0.500 0.500 0.500
10 Ca 0.000 0.000 0.000

Results
Formation enthalpy at 0 K ... -0.428 eV per atom
Theoretical density ... 7.58 Mg/m³

(20)
## CaAc4In2 (GGA-PBE)

Data for an optimized crystal structure of CaAc4In2.

Unit cell a=5.874 b=5.874 c=9.544 alpha=72.08 beta=72.08 gamma=60.00
Fractional positions:
1 In 0.273 0.273 0.180
2 In 0.727 0.727 0.820
3 Ca 0.000 0.000 0.000
4 Ac 0.855 0.855 0.436
5 Ac 0.405 0.405 0.784
6 Ac 0.595 0.595 0.216
7 Ac 0.145 0.145 0.564

Results
Formation enthalpy at 0 K ... -0.204 eV per atom
Theoretical density ... 7.34 Mg/m³